No. 1
Material: NbPbCl2
Method: DFT, PBE
State: relaxed

```
4
Lattice="1.871 0.000 11.998 -0.936 1.620 11.998 -0.936 -1.620 11.998" Properties=species:S:1:pos:R:3 pbc="T T T"
Pb 0.000 0.000 0.000
Nb 0.000 0.000 17.998
Cl 0.000 0.000 31.751
Cl 0.000 0.000 4.244
```

Output
Polymorph energy (0 for the lowest one) (eV/f.u.): 0.00

=====

No. 2
Material: NbPb2Cl8
Method: DFT, PBE
State: relaxed

```
11
Lattice="-6.774 -2.109 1.666 2.198 0.187 7.698 -0.109 5.842 5.477" Properties=species:S:1:pos:R:3 pbc="T T T"
Nb 0.000 0.000 0.000
Pb -3.299 -0.282 2.709
Pb -1.385 4.201 12.132
Cl -4.712 2.653 6.903
Cl -1.123 4.088 6.829
Cl -5.991 -0.999 3.678
Cl 1.306 4.919 11.163
Cl -3.561 -0.168 8.011
Cl 0.027 1.267 7.937
Cl -2.182 0.981 4.763
Cl -2.503 2.938 10.077
```

=====

No. 3
Material: NbPb2Cl2
Method: DFT, PBE
State: relaxed

```
10
Lattice="8.815 0.000 0.000 0.000 8.815 0.000 0.000 0.000 3.499" Properties=species:S:1:pos:R:3 pbc="T T T"
Pb 2.614 7.022 0.000
Pb 7.022 6.201 0.000
Pb 6.201 1.793 0.000
Pb 1.793 2.614 0.000
Nb 0.000 0.000 0.000
Nb 4.408 4.408 0.000
Cl 1.059 5.467 1.750
Cl 5.467 7.756 1.750
Cl 7.756 3.349 1.750
Cl 3.349 1.059 1.750
```

Output
Polymorph energy (0 for the lowest one) (eV/f.u.): 0.00

=====

No. 4
Material: Nb3PbCl
Method: DFT, PBE
State: relaxed

```
5
Lattice="-0.080 -4.589 -2.576 -1.838 -2.389 4.315 -4.931 0.965 -1.566" Properties=species:S:1:pos:R:3 pbc="T T T"
Pb 0.000 0.000 0.000
Nb -0.919 -1.195 2.157
Nb -2.466 0.483 -0.783
Nb -0.040 -2.295 -1.288
Cl -3.425 -3.007 0.086
```

Output
Polymorph energy (0 for the lowest one) (eV/f.u.): 8.02

=====

No. 5
Material: NbPbCl2
Method: DFT, PBE
State: relaxed

```
8
Lattice="6.588 0.000 0.000 0.000 6.588 0.000 3.294 3.294 5.664" Properties=species:S:1:pos:R:3 pbc="T T T"
Pb 0.000 0.000 0.000
Pb 6.588 3.294 2.832
Nb 3.294 3.294 0.000
Nb 3.294 6.588 2.832
Cl 4.294 1.647 1.416
Cl 2.294 4.941 1.416
Cl 4.941 5.588 4.248
Cl 8.235 7.588 4.248
```

Output
Polymorph energy (0 for the lowest one) (eV/f.u.): 3.29

=====

No. 6
Material: Nb2PbCl
Method: DFT, PBE
State: relaxed

```
4
Lattice="0.000 3.395 3.395 3.395 0.000 3.395 3.395 3.395 0.000" Properties=species:S:1:pos:R:3 pbc="T T T"
Pb 3.395 3.395 3.395
Nb 1.698 1.698 1.698
Nb 5.093 5.093 5.093
Cl 0.000 0.000 0.000
```

Output
Polymorph energy (0 for the lowest one) (eV/f.u.): 0.00

=====

No. 7
Material: NbPbCl3
Method: DFT, PBE
State: relaxed

```
5
Lattice="5.597 0.000 0.000 0.000 5.597 0.000 0.000 0.000 5.597" Properties=species:S:1:pos:R:3 pbc="T T T"
Pb 0.000 0.000 0.000
Nb 2.799 2.799 2.799
Cl 0.000 2.799 0.000
Cl 0.000 0.000 2.799
Cl 2.799 0.000 0.000
```

Output
Polymorph energy (0 for the lowest one) (eV/f.u.): 3.07

=====

No. 8
Material: NbPbCl2
Method: DFT, PBE
State: relaxed

```
4
Lattice="0.000 3.480 3.480 3.480 0.000 3.480 3.480 3.480 0.000" Properties=species:S:1:pos:R:3 pbc="T T T"
Pb 3.480 3.480 3.480
Nb 0.000 0.000 0.000
Cl 1.740 1.740 1.740
Cl 5.220 5.220 5.220
```

Output
Polymorph energy (0 for the lowest one) (eV/f.u.): 3.62

=====

| no. | VASP energy (Ry/atom) | volume (Å³ per atom) | formation energy from raw total energies (meV/atom) |
| --- | --- | --- | --- |
| 1 | -0.3671 | 27.28 | -627 |
| 2 | -0.2982 | 31.48 | -1125 |
| 3 | -0.2906 | 27.19 | 282 |
| 4 | -0.3675 | 29.16 | 2153 |
| 5 | -0.3067 | 30.72 | 195 |
| 6 | -0.4373 | 19.57 | 474 |
| 7 | -0.2682 | 35.07 | 214 |
| 8 | -0.3006 | 21.07 | 278 |